A plane-wave DFT calculation with PBE-GGA was carried out for crystalline Cs2CrAsI6 at its relaxed geometry.

a b c (Å): 8.3130 8.3130 8.3097
angles (deg): 59.99 59.99 90.00
Last column: magnetic moment on the atom in μB.
Fractional coordinates of all 10 atoms:
I 0.2530 0.2530 0.4940  0.00
As 0.0000 0.0000 0.0000  0.33
Cs 0.2500 0.7500 0.5000  0.00
Cr 0.5000 0.5000 0.0000  3.85
I 0.7470 0.7470 0.5060  0.00
I 0.2540 0.2540 0.0000  0.00
I 0.7460 0.2540 0.0000  0.00
I 0.2540 0.7460 0.0000  0.00
Cs 0.7500 0.2500 0.5000  0.00
I 0.7460 0.7460 0.0000  0.00

Calculated values
VASP energy = -32.184 eV per cell
N(E_F) = 1.52 states/eV/cell
Total magnetic moment = 5.00 μB per formula unit
SG = No. 139
ΔE_f (raw) = -0.69 eV per atom